[1]
## LaMg2As (PBEsol)

Data for LaMg2As after structural relaxation.

abc: 3.240 3.828 7.683
angles: 90.00 90.00 90.00
Space group Pmmm (No. 47)
One atom of each set of equivalent atoms:
La 0.000 0.000 0.000 (multiplicity 1)
Mg 0.500 0.500 0.308 (multiplicity 2)
As 0.000 0.000 0.500 (multiplicity 1)

Values from the calculation:
M_tot: 0.0 μB per formula unit
energy of formation: -0.27 eV/atom
DFT total energy: -0.2753 Ry per atom



[2]
## LaMgAs (PBEsol)

Data for LaMgAs after structural relaxation.

abc: 4.614 5.586 11.865
angles: 90.00 90.00 90.00
Space group Fmm2 (No. 42)
One atom of each set of equivalent atoms:
La 0.000 0.000 0.000 (multiplicity 4)
Mg 0.000 0.000 0.280 (multiplicity 4)
As 0.000 0.000 0.654 (multiplicity 4)

Values from the calculation:
M_tot: 0.0 μB per formula unit
energy of formation: -0.59 eV/atom
DFT total energy: -0.3417 Ry per atom



[3]
## LaMgAs (PBEsol)

Data for LaMgAs after structural relaxation.

abc: 3.254 3.845 11.553
angles: 90.00 90.00 90.00
Space group Imm2 (No. 44)
One atom of each set of equivalent atoms:
La 0.000 0.000 0.000 (multiplicity 2)
Mg 0.000 0.000 0.288 (multiplicity 2)
As 0.000 0.000 0.668 (multiplicity 2)

Values from the calculation:
M_tot: 0.0 μB per formula unit
energy of formation: -0.58 eV/atom
DFT total energy: -0.3405 Ry per atom



[4]
## LaMg2As (PBEsol)

Data for LaMg2As after structural relaxation.

abc: 3.738 3.738 6.890
angles: 90.00 90.00 90.00
Space group P4mm (No. 99)
One atom of each set of equivalent atoms:
La 0.000 0.000 0.000 (multiplicity 1)
Mg 0.000 0.000 0.549 (multiplicity 1)
Mg 0.500 0.500 0.337 (multiplicity 1)
As 0.500 0.500 0.756 (multiplicity 1)

Values from the calculation:
M_tot: 0.0 μB per formula unit
energy of formation: -0.44 eV/atom
DFT total energy: -0.2872 Ry per atom



> Look up the M_tot of the second one.

0.0 μB per formula unit